The following is a SCAN calculation of SrSc2Si at its PBEsol-relaxed geometry, from Alexandria via LeMat-Bulk.

Energy relative to the elements, uncorrected: 0.158 eV per atom

Geometry as CIF:
```
data_SrSc2Si
_cell_length_a 7.165
_cell_length_b 7.165
_cell_length_c 7.165
_cell_angle_alpha 90.00
_cell_angle_beta 90.00
_cell_angle_gamma 90.00
_space_group_name_H-M_alt 'F -4 3 m'
_space_group_IT_number 216
_space_group_name_Hall 'F -4 2 3'
loop_
_atom_site_label
_atom_site_type_symbol
_atom_site_fract_x
_atom_site_fract_y
_atom_site_fract_z
Sr1 Sr 0.000 0.000 0.000
Sc1 Sc 0.000 0.000 0.500
Sc2 Sc 0.250 0.250 0.750
Si1 Si 0.250 0.250 0.250
```

The following is a SCAN calculation of SrScSi2 at its PBEsol-relaxed geometry, from Alexandria via LeMat-Bulk.

Energy relative to the elements, uncorrected: -0.140 eV per atom
Distance to the lowest polymorph of the same formula: 269 meV/atom

Geometry as CIF:
```
data_SrScSi2
_cell_length_a 6.514
_cell_length_b 8.258
_cell_length_c 3.074
_cell_angle_alpha 90.00
_cell_angle_beta 90.00
_cell_angle_gamma 90.00
_space_group_name_H-M_alt 'C m m m'
_space_group_IT_number 65
_space_group_name_Hall '-C 2 2'
loop_
_atom_site_label
_atom_site_type_symbol
_atom_site_fract_x
_atom_site_fract_y
_atom_site_fract_z
Sr1 Sr 0.000 0.000 0.000
Sc1 Sc 0.000 0.500 0.000
Si1 Si 0.250 0.250 0.500
```

The following is a SCAN calculation of ScTaSi at its PBEsol-relaxed geometry, from Alexandria via LeMat-Bulk.

Energy relative to the elements, uncorrected: 0.919 eV per atom

Geometry as CIF:
```
data_ScTaSi
_cell_length_a 6.326
_cell_length_b 6.326
_cell_length_c 6.326
_cell_angle_alpha 90.00
_cell_angle_beta 90.00
_cell_angle_gamma 90.00
_space_group_name_H-M_alt 'F -4 3 m'
_space_group_IT_number 216
_space_group_name_Hall 'F -4 2 3'
loop_
_atom_site_label
_atom_site_type_symbol
_atom_site_fract_x
_atom_site_fract_y
_atom_site_fract_z
Sc1 Sc 0.000 0.000 0.000
Ta1 Ta 0.250 0.250 0.250
Si1 Si 0.250 0.250 0.750
```